Material: Ca4SiP
Method: DFT, PBE
State: optimized geometry

abc: 6.9888 6.9903 8.5694
angles: 114.06 114.05 90.00
Sites, in units of the cell vectors:
Ca (0.0000, 0.7502, 0.9999)
Ca (0.7502, 0.4997, 0.4999)
Ca (0.5001, 0.7504, 0.0001)
Ca (0.2498, 0.5003, 0.5001)
Ca (0.4999, 0.2496, 0.9999)
Ca (0.0000, 0.2498, 0.0001)
Ca (0.2497, 0.0002, 0.4999)
Ca (0.7503, 0.9998, 0.5001)
Si (0.6250, 0.3750, 0.7501)
Si (0.3750, 0.6250, 0.2499)
P (0.8750, 0.1250, 0.2499)
P (0.1250, 0.8750, 0.7501)

Summary:
Volume = 342 Å³ per cell
Energy above the lowest structure with this stoichiometry = 56 meV/atom
Symmetry = I4_1/amd
ρ = 2.1 Mg/m³
Uncorrected formation energy = -4.13 eV/f.u.
Spin magnetization = 0.000 μB per atom